This record from Alexandria describes Hf5Nb12Mo3 after structural relaxation. The functional is PBE-GGA. Values from VASP.

Output
E_tot: -8.76 eV/atom
symmetry: Ia-3d (230)
ΔH_f (0 K): 27.94 eV/f.u.

Quantum ESPRESSO input file:
```
&SYSTEM
  ibrav = 0, nat = 80, ntyp = 3
/
ATOMIC_SPECIES
Hf 178.49 Hf.upf
Nb 92.91 Nb.upf
Mo 95.94 Mo.upf
CELL_PARAMETERS angstrom
-7.857 7.857 7.857
7.857 -7.857 7.857
7.857 7.857 -7.857
ATOMIC_POSITIONS crystal
Hf 0.000 0.000 0.000
Hf 0.000 0.000 0.500
Hf 0.000 0.500 0.000
Hf 0.000 0.500 0.500
Hf 0.125 0.750 0.875
Hf 0.125 0.875 0.250
Hf 0.250 0.125 0.875
Hf 0.250 0.625 0.375
Hf 0.375 0.250 0.625
Hf 0.375 0.625 0.750
Hf 0.500 0.000 0.000
Hf 0.500 0.000 0.500
Hf 0.500 0.500 0.000
Hf 0.500 0.500 0.500
Hf 0.625 0.375 0.250
Hf 0.625 0.750 0.375
Hf 0.750 0.375 0.625
Hf 0.750 0.875 0.125
Hf 0.875 0.125 0.750
Hf 0.875 0.250 0.125
Nb 0.057 0.639 0.400
Nb 0.057 0.917 0.656
Nb 0.083 0.239 0.139
Nb 0.083 0.344 0.943
Nb 0.100 0.739 0.656
Nb 0.100 0.861 0.443
Nb 0.139 0.083 0.239
Nb 0.139 0.557 0.900
Nb 0.156 0.239 0.600
Nb 0.156 0.417 0.557
Nb 0.239 0.139 0.083
Nb 0.239 0.600 0.156
Nb 0.261 0.344 0.900
Nb 0.261 0.417 0.361
Nb 0.344 0.900 0.261
Nb 0.344 0.943 0.083
Nb 0.361 0.261 0.417
Nb 0.361 0.600 0.943
Nb 0.400 0.057 0.639
Nb 0.400 0.844 0.761
Nb 0.417 0.361 0.261
Nb 0.417 0.557 0.156
Nb 0.443 0.100 0.861
Nb 0.443 0.844 0.583
Nb 0.557 0.156 0.417
Nb 0.557 0.900 0.139
Nb 0.583 0.443 0.844
Nb 0.583 0.639 0.739
Nb 0.600 0.156 0.239
Nb 0.600 0.943 0.361
Nb 0.639 0.400 0.057
Nb 0.639 0.739 0.583
Nb 0.656 0.057 0.917
Nb 0.656 0.100 0.739
Nb 0.739 0.583 0.639
Nb 0.739 0.656 0.100
Nb 0.761 0.400 0.844
Nb 0.761 0.861 0.917
Nb 0.844 0.583 0.443
Nb 0.844 0.761 0.400
Nb 0.861 0.443 0.100
Nb 0.861 0.917 0.761
Nb 0.900 0.139 0.557
Nb 0.900 0.261 0.344
Nb 0.917 0.656 0.057
Nb 0.917 0.761 0.861
Nb 0.943 0.083 0.344
Nb 0.943 0.361 0.600
Mo 0.125 0.250 0.375
Mo 0.125 0.375 0.750
Mo 0.250 0.375 0.125
Mo 0.250 0.875 0.625
Mo 0.375 0.125 0.250
Mo 0.375 0.750 0.125
Mo 0.625 0.250 0.875
Mo 0.625 0.875 0.750
Mo 0.750 0.125 0.375
Mo 0.750 0.625 0.875
Mo 0.875 0.625 0.250
Mo 0.875 0.750 0.625
```

This record from Alexandria describes BaCaCo2Pb after structural relaxation. The functional is PBE-GGA. Values from VASP.

Output
E_tot: -2.94 eV/atom
symmetry: P4/mmm (123)
ΔH_f (0 K): 7.14 eV/f.u.

Quantum ESPRESSO input file:
```
&SYSTEM
  ibrav = 0, nat = 5, ntyp = 4
/
ATOMIC_SPECIES
Ba 137.33 Ba.upf
Ca 40.08 Ca.upf
Co 58.93 Co.upf
Pb 207.20 Pb.upf
CELL_PARAMETERS angstrom
4.912 0.000 0.000
0.000 4.912 0.000
0.000 0.000 5.811
ATOMIC_POSITIONS crystal
Ba 0.000 0.000 0.000
Ca 0.000 0.000 0.500
Co 0.000 0.500 0.000
Co 0.500 0.000 0.000
Pb 0.500 0.500 0.500
```

This record from Alexandria describes BiCF2 after structural relaxation. The functional is PBE-GGA. Values from VASP.

Output
formation energy from raw total energies: 0.24 eV/atom
E_tot: -3.97 eV/atom
symmetry: Fm-3m (225)

Quantum ESPRESSO input file:
```
&SYSTEM
  ibrav = 0, nat = 4, ntyp = 3
/
ATOMIC_SPECIES
Bi 208.98 Bi.upf
C 12.01 C.upf
F 19.00 F.upf
CELL_PARAMETERS angstrom
0.000 3.001 3.001
3.001 0.000 3.001
3.001 3.001 0.000
ATOMIC_POSITIONS crystal
Bi 0.000 0.000 0.000
C 0.500 0.500 0.500
F 0.250 0.250 0.250
F 0.750 0.750 0.750
```

This record from Alexandria describes Ac4PRuI2 after structural relaxation. The functional is PBE-GGA. Values from VASP.

Output
formation energy from raw total energies: -0.99 eV/atom
E_tot: -5.27 eV/atom
symmetry: P2/m (10)

Quantum ESPRESSO input file:
```
&SYSTEM
  ibrav = 0, nat = 8, ntyp = 4
/
ATOMIC_SPECIES
Ac 227.00 Ac.upf
P 30.97 P.upf
Ru 101.07 Ru.upf
I 126.90 I.upf
CELL_PARAMETERS angstrom
7.932 0.000 0.000
0.000 4.335 0.000
-2.288 0.000 8.428
ATOMIC_POSITIONS crystal
Ac 0.215 0.000 0.186
Ac 0.256 0.500 0.813
Ac 0.744 0.500 0.187
Ac 0.785 0.000 0.814
P 0.500 0.000 0.000
Ru 0.000 0.500 0.000
I 0.000 0.000 0.500
I 0.500 0.500 0.500
```

This record from Alexandria describes Cs12NaHg4 after structural relaxation. The functional is PBE-GGA. Values from VASP.

Output
E_tot: -0.83 eV/atom
symmetry: Im-3 (204)
ΔH_f (0 K): -1.36 eV/f.u.

Quantum ESPRESSO input file:
```
&SYSTEM
  ibrav = 0, nat = 17, ntyp = 3
/
ATOMIC_SPECIES
Cs 132.91 Cs.upf
Na 22.99 Na.upf
Hg 200.59 Hg.upf
CELL_PARAMETERS angstrom
-7.088 7.088 7.088
7.088 -7.088 7.088
7.088 7.088 -7.088
ATOMIC_POSITIONS crystal
Cs 0.137 0.826 0.310
Cs 0.174 0.310 0.484
Cs 0.174 0.690 0.863
Cs 0.310 0.137 0.826
Cs 0.310 0.484 0.174
Cs 0.484 0.174 0.310
Cs 0.516 0.826 0.690
Cs 0.690 0.516 0.826
Cs 0.690 0.863 0.174
Cs 0.826 0.310 0.137
Cs 0.826 0.690 0.516
Cs 0.863 0.174 0.690
Na 0.000 0.000 0.000
Hg 0.000 0.000 0.500
Hg 0.000 0.500 0.000
Hg 0.500 0.000 0.000
Hg 0.500 0.500 0.500
```

This record from Alexandria describes KRb2PmF6 after structural relaxation. The functional is PBE-GGA. Values from VASP.

Output
formation energy from raw total energies: -3.30 eV/atom
E_tot: -5.20 eV/atom
symmetry: P2_1/c (14)

Quantum ESPRESSO input file:
```
&SYSTEM
  ibrav = 0, nat = 20, ntyp = 4
/
ATOMIC_SPECIES
K 39.10 K.upf
Rb 85.47 Rb.upf
Pm 145.00 Pm.upf
F 19.00 F.upf
CELL_PARAMETERS angstrom
6.643 0.000 0.000
0.000 6.830 0.000
-6.541 0.000 9.446
ATOMIC_POSITIONS crystal
K 0.000 0.000 0.000
K 0.000 0.500 0.500
Rb 0.232 0.046 0.747
Rb 0.232 0.454 0.247
Rb 0.768 0.546 0.753
Rb 0.768 0.954 0.253
Pm 0.500 0.000 0.500
Pm 0.500 0.500 0.000
F 0.180 0.187 0.454
F 0.180 0.313 0.954
F 0.255 0.731 0.437
F 0.255 0.769 0.937
F 0.374 0.047 0.272
F 0.374 0.453 0.772
F 0.626 0.547 0.228
F 0.626 0.953 0.728
F 0.745 0.231 0.063
F 0.745 0.269 0.563
F 0.820 0.687 0.046
F 0.820 0.813 0.546
```

This record from Alexandria describes Al2ZnCdCu after structural relaxation. The functional is PBE-GGA. Values from VASP.

Output
E_tot: -2.46 eV/atom
symmetry: P4/mmm (123)
ΔH_f (0 K): 1.48 eV/f.u.

Quantum ESPRESSO input file:
```
&SYSTEM
  ibrav = 0, nat = 5, ntyp = 4
/
ATOMIC_SPECIES
Al 26.98 Al.upf
Zn 65.41 Zn.upf
Cd 112.41 Cd.upf
Cu 63.55 Cu.upf
CELL_PARAMETERS angstrom
4.580 0.000 0.000
0.000 4.580 0.000
0.000 0.000 5.038
ATOMIC_POSITIONS crystal
Al 0.000 0.500 0.000
Al 0.500 0.000 0.000
Zn 0.000 0.000 0.500
Cd 0.500 0.500 0.500
Cu 0.500 0.500 0.000
```

This record from Alexandria describes RbNaAgF3 after structural relaxation. The functional is PBE-GGA. Values from VASP.

Output
formation energy from raw total energies: -2.09 eV/atom
E_tot: -3.88 eV/atom
symmetry: P2_1/m (11)

Quantum ESPRESSO input file:
```
&SYSTEM
  ibrav = 0, nat = 12, ntyp = 4
/
ATOMIC_SPECIES
Rb 85.47 Rb.upf
Na 22.99 Na.upf
Ag 107.87 Ag.upf
F 19.00 F.upf
CELL_PARAMETERS angstrom
6.215 0.000 0.000
0.000 3.575 0.000
-2.184 0.000 9.326
ATOMIC_POSITIONS crystal
Rb 0.152 0.250 0.203
Rb 0.848 0.750 0.797
Na 0.266 0.750 0.545
Na 0.734 0.250 0.455
Ag 0.368 0.250 0.844
Ag 0.632 0.750 0.156
F 0.063 0.250 0.642
F 0.266 0.750 0.996
F 0.470 0.750 0.362
F 0.530 0.250 0.638
F 0.734 0.250 0.004
F 0.937 0.750 0.358
```